Computed, not measured: an optimized crystal structure of Tl5Sn2Hg12 at the PBE-GGA level of DFT.

The calculation puts the energy of formation from the pure elements at 0.013 eV per atom. The symmetry is C2/m (12).

Structure (POSCAR):
```
Tl5Sn2Hg12
1.0
3.470 -8.398 4.382
5.793 -2.460 7.884
-5.067 -2.051 6.839
Tl Sn Hg
5 2 12
direct
0.238 0.238 0.854
0.322 0.322 0.185
0.000 0.000 0.500
0.678 0.678 0.815
0.762 0.762 0.146
0.292 0.708 0.000
0.708 0.292 0.000
0.912 0.912 0.240
0.655 0.107 0.831
0.107 0.655 0.831
0.575 0.079 0.530
0.079 0.575 0.530
0.525 0.525 0.644
0.475 0.475 0.356
0.425 0.921 0.470
0.921 0.425 0.470
0.345 0.893 0.169
0.893 0.345 0.169
0.088 0.088 0.760
```